[1]
A PBEsol-optimized structure of Ta2Cd2Cl. Source: Alexandria via LeMat-Bulk, functional SCAN.

```
data_Ta2Cd2Cl
_cell_length_a 3.801
_cell_length_b 3.801
_cell_length_c 13.900
_cell_angle_alpha 90.00
_cell_angle_beta 90.00
_cell_angle_gamma 90.00
_space_group_name_H-M_alt 'I 4/m m m'
_space_group_IT_number 139
_space_group_name_Hall '-I 4 2'
loop_
_atom_site_label
_atom_site_type_symbol
_atom_site_fract_x
_atom_site_fract_y
_atom_site_fract_z
Ta1 Ta 0.000 0.000 0.089
Cd1 Cd 0.000 0.500 0.250
Cl1 Cl 0.000 0.000 0.500
```

Calculated values
**Formation energy without anion corrections**: 0.93 eV per atom

---

[2]
A PBEsol-optimized structure of Cd2AgRh. Source: Alexandria via LeMat-Bulk, functional SCAN.

```
data_Cd2AgRh
_cell_length_a 4.256
_cell_length_b 4.256
_cell_length_c 7.402
_cell_angle_alpha 90.00
_cell_angle_beta 90.00
_cell_angle_gamma 90.00
_space_group_name_H-M_alt 'I 4/m m m'
_space_group_IT_number 139
_space_group_name_Hall '-I 4 2'
loop_
_atom_site_label
_atom_site_type_symbol
_atom_site_fract_x
_atom_site_fract_y
_atom_site_fract_z
Cd1 Cd 0.000 0.500 0.250
Ag1 Ag 0.000 0.000 0.000
Rh1 Rh 0.000 0.000 0.500
```

Calculated values
**ΔH_f (0 K)**: -0.101 eV per atom
**Energy relative to the lowest polymorph listed for this composition**: 26 meV/atom

---

[3]
A PBEsol-optimized structure of La2AgOs. Source: Alexandria via LeMat-Bulk, functional SCAN.

```
data_La2AgOs
_cell_length_a 6.960
_cell_length_b 6.960
_cell_length_c 6.960
_cell_angle_alpha 90.00
_cell_angle_beta 90.00
_cell_angle_gamma 90.00
_space_group_name_H-M_alt 'F -4 3 m'
_space_group_IT_number 216
_space_group_name_Hall 'F -4 2 3'
loop_
_atom_site_label
_atom_site_type_symbol
_atom_site_fract_x
_atom_site_fract_y
_atom_site_fract_z
La1 La 0.000 0.000 0.000
La2 La 0.250 0.250 0.250
Ag1 Ag 0.250 0.250 0.750
Os1 Os 0.000 0.000 0.500
```

Calculated values
**ΔH_f (0 K)**: 0.119 eV per atom

---

[4]
A PBEsol-optimized structure of Rb3HfTe. Source: Alexandria via LeMat-Bulk, functional SCAN.

```
data_Rb3HfTe
_cell_length_a 6.803
_cell_length_b 6.803
_cell_length_c 6.803
_cell_angle_alpha 90.00
_cell_angle_beta 90.00
_cell_angle_gamma 90.00
_space_group_name_H-M_alt 'P m -3 m'
_space_group_IT_number 221
_space_group_name_Hall '-P 4 2 3'
loop_
_atom_site_label
_atom_site_type_symbol
_atom_site_fract_x
_atom_site_fract_y
_atom_site_fract_z
Rb1 Rb 0.000 0.000 0.500
Hf1 Hf 0.500 0.500 0.500
Te1 Te 0.000 0.000 0.000
```

Calculated values
**Formation energy without anion corrections**: 0.53 eV per atom

---

no.,V (Å³ per cell)
1,200.8
2,134.1
3,337.2
4,314.9